Compound: HgSeBr2
Source: Alexandria via LeMat-Bulk
Functional: PBE
Structure: relaxed

The space group is R-3m (No. 166, hexagonal axes) and the conventional cell measures 4.0036, 4.0036 and 28.7325 Å, with angles of 90.00, 90.00 and 120.00 degrees. The distinct sites, in fractional coordinates, are Hg at (0.0000, 0.0000, 0.0000), Se at (0.0000, 0.0000, 0.5000) and Br at (0.0000, 0.0000, 0.2750).

The calculation puts the energy above the most stable polymorph in this dataset at 1.61 eV per formula unit. As for the formation energy (no corrections): 0.22 eV/atom. As for the density of states at the Fermi level: 0.224 states/eV per atom.